Entry 1:
Density functional theory data (GGA-PBE) for an optimized crystal structure of GaAu2I2.

Its crystal system is tetragonal. The calculation puts the uncorrected formation energy at 13 kJ/mol of atoms.

The structure belongs to space group P4/mbm (No. 127); the cell edges are 7.958, 7.958 and 4.304 Å and the angles 90.00°, 90.00° and 90.00°. The asymmetric unit holds Ga at (0.000, 0.000, 0.000), Au at (0.121, 0.379, 0.000) and I at (0.205, 0.705, 0.500).



Entry 2:
Density functional theory data (GGA-PBE) for an optimized crystal structure of AlAsIr3.

Its crystal system is cubic. The calculated formation energy is 91 kJ per mole of atoms.

The structure belongs to space group Pm-3m (No. 221); the cell edges are 4.549, 4.549 and 4.549 Å and the angles 90.00°, 90.00° and 90.00°. The asymmetric unit holds Al at (0.000, 0.000, 0.000), As at (0.500, 0.500, 0.500) and Ir at (0.000, 0.500, 0.500).



no.,DOS at the Fermi energy (states/eV per cell),polymorph energy (0 for the lowest one) (eV per atom)
1,3.08,0.026
2,10.77,0.000